No. 1
Density functional theory data (GGA-PBE) for a relaxed CdSn2Pb6 crystal.

Summary:
- Space group: No. 12
- Calculated formation energy: 0.03 eV per atom
- E_tot: -3.431 eV per atom
- Spin magnetization: 0.00 μB/cell

Cell: 6.1783 6.1783 10.7668 Å, 108.83 108.83 44.38°
With the nearest neighbours (Å) after each atom.
Fractional positions:
Cd1 0.0000 0.0000 0.0000  4 Sn 3.30, 8 Pb 3.44-3.63
Sn1 0.3410 0.3410 0.7928  2 Cd 3.30, 8 Pb 3.41-3.50
Sn2 0.6590 0.6590 0.2072  2 Cd 3.30, 8 Pb 3.41-3.50
Pb1 0.0061 0.0061 0.3322  8 Pb 3.41-3.66, 3 Sn 3.46-3.72, 1 Cd 3.55
Pb2 0.3248 0.3248 0.4309  2 Sn 3.41, 9 Pb 3.42-3.76
Pb3 0.3381 0.3381 0.1099  5 Pb 3.41-3.51, 4 Sn 3.43-3.50, 3 Cd 3.44-3.63
Pb4 0.6619 0.6619 0.8901  5 Pb 3.41-3.51, 4 Sn 3.43-3.50, 3 Cd 3.44-3.63
Pb5 0.6752 0.6752 0.5691  2 Sn 3.41, 9 Pb 3.42-3.76
Pb6 0.9939 0.9939 0.6678  8 Pb 3.41-3.66, 3 Sn 3.46-3.72, 1 Cd 3.55


No. 2
Density functional theory data (GGA-PBE) for a relaxed LiDySc2Cd4 crystal.

Summary:
- Space group: No. 166
- Calculated formation energy: -0.25 eV per atom
- E_tot: -3.107 eV per atom
- Spin magnetization: 0.00 μB/cell

Cell: 8.8047 8.8047 8.8047 Å, 33.07 33.07 33.07°
With the nearest neighbours (Å) after each atom.
Fractional positions:
Li1 0.0000 0.0000 0.0000  8 Cd 2.90-3.05
Dy1 0.5000 0.5000 0.5000  8 Cd 3.15-3.19
Sc1 0.2513 0.2513 0.2513  8 Cd 3.02-3.37
Sc2 0.7487 0.7487 0.7487  8 Cd 3.02-3.37
Cd1 0.1163 0.1163 0.1163  1 Li 2.90, 3 Sc 3.02, 3 Dy 3.15
Cd2 0.3723 0.3723 0.3723  4 Sc 3.02-3.09, 3 Li 3.05, 1 Dy 3.19
Cd3 0.6277 0.6277 0.6277  4 Sc 3.02-3.09, 3 Li 3.05, 1 Dy 3.19
Cd4 0.8837 0.8837 0.8837  1 Li 2.90, 3 Sc 3.02, 3 Dy 3.15


Q: Look up the E_tot of the first one.
A: -3.431 eV per atom


Q: What is the formula in the second record?
A: LiDySc2Cd4